[1]
Y2MgTcF: relaxed, PBE. Values from VASP.

The structure in Quantum ESPRESSO input format:
```
&SYSTEM
  ibrav = 0, nat = 5, ntyp = 4
/
ATOMIC_SPECIES
Y 88.91 Y.upf
Mg 24.30 Mg.upf
Tc 98.00 Tc.upf
F 19.00 F.upf
ATOMIC_POSITIONS crystal
Y 0.000 0.000 0.500
Y 0.500 0.000 0.000
Mg 0.500 0.500 0.500
Tc 0.000 0.500 0.000
F 0.000 0.000 0.000
CELL_PARAMETERS angstrom
4.880 0.000 0.000
0.000 4.263 0.000
0.000 0.000 4.880
```

Calculated values
Calculated total energy: -5.837 eV per atom
Space-group type: P4/mmm, No. 123
Energy relative to the elements, uncorrected: -46.75 kJ per mole of atoms
Size of the total moment: 0.000 μB per atom

---

[2]
MgZrTcF2: relaxed, PBE. Values from VASP.

The structure in Quantum ESPRESSO input format:
```
&SYSTEM
  ibrav = 0, nat = 5, ntyp = 4
/
ATOMIC_SPECIES
Mg 24.30 Mg.upf
Tc 98.00 Tc.upf
Zr 91.22 Zr.upf
F 19.00 F.upf
ATOMIC_POSITIONS crystal
Mg 0.000 0.500 0.000
Tc 0.500 0.500 0.500
Zr 0.000 0.000 0.000
F 0.000 0.000 0.500
F 0.500 0.000 0.000
CELL_PARAMETERS angstrom
-1.154 1.404 3.696
-5.921 -1.639 -1.226
0.692 -3.719 1.629
```

Calculated values
Calculated total energy: -5.623 eV per atom
Space-group type: P4/mmm, No. 123
Energy relative to the elements, uncorrected: -74.53 kJ per mole of atoms
Size of the total moment: 0.534 μB per atom

---

[3]
Mg2TeF2: relaxed, PBE. Values from VASP.

The structure in Quantum ESPRESSO input format:
```
&SYSTEM
  ibrav = 0, nat = 5, ntyp = 3
/
ATOMIC_SPECIES
Mg 24.30 Mg.upf
Te 127.60 Te.upf
F 19.00 F.upf
ATOMIC_POSITIONS crystal
Mg 0.349 0.349 0.303
Mg 0.651 0.651 0.697
Te 0.000 0.000 0.000
F 0.750 0.250 0.500
F 0.250 0.750 0.500
CELL_PARAMETERS angstrom
3.706 0.000 0.000
0.000 3.706 0.000
1.853 1.853 5.764
```

Calculated values
Calculated total energy: -4.246 eV per atom
Space-group type: I4/mmm, No. 139
Energy relative to the elements, uncorrected: -215.32 kJ per mole of atoms
Size of the total moment: 0.000 μB per atom

---

[4]
MgTe3F: relaxed, PBE. Values from VASP.

The structure in Quantum ESPRESSO input format:
```
&SYSTEM
  ibrav = 0, nat = 5, ntyp = 3
/
ATOMIC_SPECIES
Mg 24.30 Mg.upf
Te 127.60 Te.upf
F 19.00 F.upf
ATOMIC_POSITIONS crystal
Mg 0.000 0.000 0.000
Te 0.000 0.500 0.000
Te 0.000 0.000 0.500
Te 0.500 0.000 0.000
F 0.500 0.500 0.500
CELL_PARAMETERS angstrom
-4.678 2.358 0.711
-0.875 -3.019 4.251
2.302 3.644 3.061
```

Calculated values
Calculated total energy: -2.492 eV per atom
Space-group type: Pm-3m, No. 221
Energy relative to the elements, uncorrected: 8.29 kJ per mole of atoms
Size of the total moment: 0.000 μB per atom